[1]
First-principles (PBE) data for a geometry-optimized LiY2Be structure, as listed in Alexandria.

abc: 9.838 9.838 9.838
angles: 20.52 20.52 20.52
Atoms (fractional coordinates):
Be1 0.250 0.250 0.250
Y1 0.984 0.984 0.984
Y2 0.516 0.516 0.516
Li1 0.750 0.750 0.750

Results
- total energy (eV per atom) = -4.3855
- symmetry = R-3m
- ΔH_f (0 K) (eV per atom) = 0.257


[2]
First-principles (PBE) data for a geometry-optimized Li4YBe structure, as listed in Alexandria.

abc: 5.316 5.316 5.316
angles: 60.00 60.00 60.00
Atoms (fractional coordinates):
Y1 0.750 0.750 0.750
Li1 0.372 0.372 0.372
Be1 0.000 0.000 0.000
Li2 0.372 0.372 0.883
Li3 0.883 0.372 0.372
Li4 0.372 0.883 0.372

Results
- total energy (eV per atom) = -2.7451
- symmetry = F-43m
- ΔH_f (0 K) (eV per atom) = 0.229


[3]
First-principles (PBE) data for a geometry-optimized Li2YBe structure, as listed in Alexandria.

abc: 6.023 6.023 3.284
angles: 75.06 75.06 124.03
Atoms (fractional coordinates):
Be1 0.000 0.500 0.500
Li1 0.000 0.000 0.000
Y1 0.500 0.000 0.500
Li2 0.500 0.500 0.000

Results
- total energy (eV per atom) = -3.1434
- symmetry = C2/m
- ΔH_f (0 K) (eV per atom) = 0.361


[4]
First-principles (PBE) data for a geometry-optimized Li2YBe structure, as listed in Alexandria.

abc: 5.819 5.819 5.819
angles: 148.06 130.50 60.13
Atoms (fractional coordinates):
Be1 0.250 0.750 0.500
Li1 0.043 0.043 0.000
Y1 0.750 0.250 0.500
Li2 0.457 0.457 0.000

Results
- total energy (eV per atom) = -3.2929
- symmetry = Immm
- ΔH_f (0 K) (eV per atom) = 0.212


> Which of these has the highest ΔH_f (0 K)?

number 3


> What is the ΔH_f (0 K) in the third record?

0.361 eV per atom


> Among the records above, which one has the lowest ΔH_f (0 K)?

number 4